Entry 1:
Entry from Alexandria via LeMat-Bulk: an optimized crystal structure of TaCo2Se (GGA-PBE).

It has space group P4mm (No. 99), with a = 3.1880 Å, b = 3.1880 Å, c = 5.6924 Å, α = 90.00°, β = 90.00° and γ = 90.00°. The distinct sites, in fractional coordinates, are Ta at (0.0000, 0.0000, 0.0000), Co at (0.0000, 0.0000, 0.4420), Co at (0.5000, 0.5000, 0.2861) and Se at (0.5000, 0.5000, 0.7380).

For the formation energy (no corrections), the calculation gives 0.2 eV per formula unit.

Entry 2:
Entry from Alexandria via LeMat-Bulk: an optimized crystal structure of KCe2Br7 (GGA-PBE).

It has space group Cmmm (No. 65), with a = 9.3184 Å, b = 14.7810 Å, c = 5.8067 Å, α = 90.00°, β = 90.00° and γ = 90.00°. The distinct sites, in fractional coordinates, are K at (0.0000, 0.0000, 0.0000), Ce at (0.0000, 0.3010, 0.5000), Br at (0.0000, 0.2866, 0.0000), Br at (0.0000, 0.5000, 0.5000) and Br at (0.1878, 0.1360, 0.5000).

For the formation energy (no corrections), the calculation gives -17.7 eV per formula unit.

Entry 3:
Entry from Alexandria via LeMat-Bulk: an optimized crystal structure of SnGeRu2 (GGA-PBE).

It has space group P4/mmm (No. 123), with a = 3.1213 Å, b = 3.1213 Å, c = 6.3754 Å, α = 90.00°, β = 90.00° and γ = 90.00°. The distinct sites, in fractional coordinates, are Sn at (0.0000, 0.0000, 0.0000), Ge at (0.0000, 0.0000, 0.5000) and Ru at (0.5000, 0.5000, 0.2692).

The calculation puts the formation energy at -0.143 eV/atom.

Entry 4:
Entry from Alexandria via LeMat-Bulk: an optimized crystal structure of Sr4TlPb2 (GGA-PBE).

It has space group R-3m (No. 166, hexagonal axes), with a = 5.7814 Å, b = 5.7814 Å, c = 28.1104 Å, α = 90.00°, β = 90.00° and γ = 120.00°. The distinct sites, in fractional coordinates, are Sr at (0.0000, 0.0000, 0.1227), Sr at (0.0000, 0.0000, 0.3738), Tl at (0.0000, 0.0000, 0.5000) and Pb at (0.0000, 0.0000, 0.2491).

The calculation puts the formation energy at -0.474 eV/atom.

Entry 5:
Entry from Alexandria via LeMat-Bulk: an optimized crystal structure of CdIn3Ge (GGA-PBE).

It has space group Pm-3m (No. 221), with a = 5.4579 Å, b = 5.4579 Å, c = 5.4579 Å, α = 90.00°, β = 90.00° and γ = 90.00°. The distinct sites, in fractional coordinates, are Cd at (0.0000, 0.0000, 0.0000), In at (0.0000, 0.0000, 0.5000) and Ge at (0.5000, 0.5000, 0.5000).

The calculation puts the formation energy at 0.607 eV/atom. The value obtained for the polymorph energy (0 for the lowest one) is 251 meV/atom.

Entry 6:
Entry from Alexandria via LeMat-Bulk: an optimized crystal structure of Ho3ErCu3 (GGA-PBE).

It has space group C2/m (No. 12), with a = 9.7654 Å, b = 9.9998 Å, c = 6.8369 Å, α = 90.00°, β = 105.18° and γ = 90.00°. The distinct sites, in fractional coordinates, are Ho at (0.0000, 0.1791, 0.0000), Ho at (0.0000, 0.2586, 0.5000), Ho at (0.1584, 0.5000, 0.9232), Er at (0.2387, 0.5000, 0.4667), Cu at (0.0476, 0.0000, 0.7033) and Cu at (0.2380, 0.2165, 0.8061).

The calculation puts the formation energy at -0.147 eV/atom.

| no. | DOS at the Fermi energy (states/eV/atom) |
| --- | --- |
| 1 | 0.91 |
| 2 | 1.15 |
| 3 | 0.23 |
| 4 | 0.58 |
| 5 | 1.39 |
| 6 | 0.83 |